Here is a relaxed structure of Fe3W from Alexandria via LeMat-Bulk. Energies are from PBE-GGA.

a b c (Å): 4.1264 4.1264 2.9462
angles (deg): 90.00 90.00 90.00
Closest atoms and distances in Å follow each position.
Space group P4/mmm (No. 123)
Inequivalent atoms, fractional coordinates:
Fe1 0.0000 0.0000 0.0000 x1  8 Fe 2.54
Fe2 0.0000 0.5000 0.5000 x2  4 W 2.54, 4 Fe 2.54
W1 0.5000 0.5000 0.0000 x1  8 Fe 2.54

Spin magnetization in μB/f.u.: 5.5
Electronic total energy in eV/atom: -9.488

---

Here is a relaxed structure of FeW2 from Alexandria via LeMat-Bulk. Energies are from PBE-GGA.

a b c (Å): 4.8826 5.6417 3.6051
angles (deg): 90.00 90.00 90.00
Closest atoms and distances in Å follow each position.
Space group Pnnm (No. 58)
Inequivalent atoms, fractional coordinates:
Fe1 0.0000 0.0000 0.0000 x2  6 W 2.34-2.37
W1 0.2269 0.3659 0.0000 x4  3 Fe 2.34-2.37

Spin magnetization in μB/f.u.: 0.0
Electronic total energy in eV/atom: -10.481

---

Here is a relaxed structure of Fe3W from Alexandria via LeMat-Bulk. Energies are from PBE-GGA.

a b c (Å): 2.6270 3.5451 5.1958
angles (deg): 90.00 90.00 90.00
Closest atoms and distances in Å follow each position.
Space group Pmmm (No. 47)
Inequivalent atoms, fractional coordinates:
Fe1 0.0000 0.0000 0.0000 x1  10 Fe 2.50-2.63, 2 W 2.60
Fe2 0.5000 0.5000 0.2277 x2  7 Fe 2.37-2.63, 4 W 2.62
W1 0.0000 0.0000 0.5000 x1  10 Fe 2.60-2.62, 2 W 2.63

Spin magnetization in μB/f.u.: 3.1
Electronic total energy in eV/atom: -9.423

---

Here is a relaxed structure of FeW2 from Alexandria via LeMat-Bulk. Energies are from PBE-GGA.

a b c (Å): 5.9616 5.9616 4.8477
angles (deg): 90.00 90.00 90.00
Closest atoms and distances in Å follow each position.
Space group I4/mcm (No. 140)
Inequivalent atoms, fractional coordinates:
Fe1 0.0000 0.0000 0.2500 x4  2 Fe 2.42, 8 W 2.55
W1 0.1599 0.3401 0.0000 x8  4 Fe 2.55, 1 W 2.70

Spin magnetization in μB/f.u.: 0.0
Electronic total energy in eV/atom: -11.392

---

Here is a relaxed structure of FeW2 from Alexandria via LeMat-Bulk. Energies are from PBE-GGA.

a b c (Å): 3.1494 12.8432 4.3684
angles (deg): 90.00 90.00 90.00
Closest atoms and distances in Å follow each position.
Space group Cmcm (No. 63)
Inequivalent atoms, fractional coordinates:
Fe1 0.0000 0.0850 0.2500 x4  8 W 2.61-2.69
W1 0.0000 0.2478 0.7500 x4  2 Fe 2.66, 6 W 2.69-2.70
W2 0.0000 0.4233 0.2500 x4  6 Fe 2.61-2.69, 2 W 2.70

Spin magnetization in μB/f.u.: 2.1
Electronic total energy in eV/atom: -11.282

---

Here is a relaxed structure of Fe5W from Alexandria via LeMat-Bulk. Energies are from PBE-GGA.

a b c (Å): 6.5864 6.5864 6.5864
angles (deg): 90.00 90.00 90.00
Closest atoms and distances in Å follow each position.
Space group F-43m (No. 216)
Inequivalent atoms, fractional coordinates:
Fe1 0.0000 0.0000 0.0000 x4  12 Fe 2.73, 4 W 2.85
Fe2 0.1257 0.1257 0.6257 x16  6 Fe 2.32-2.34
W1 0.2500 0.2500 0.2500 x4  16 Fe 2.73-2.85

Spin magnetization in μB/f.u.: 7.8
Electronic total energy in eV/atom: -9.165

---

Here is a relaxed structure of Fe5W4 from Alexandria via LeMat-Bulk. Energies are from PBE-GGA.

a b c (Å): 7.9872 7.9872 3.6568
angles (deg): 90.00 90.00 90.00
Closest atoms and distances in Å follow each position.
Space group I4/mmm (No. 139)
Inequivalent atoms, fractional coordinates:
Fe1 0.0000 0.0000 0.0000 x2  4 W 2.47, 8 Fe 2.59
Fe2 0.1622 0.1622 0.5000 x8  6 W 2.53-2.71, 6 Fe 2.59-2.70
W1 0.0000 0.3088 0.0000 x8  7 Fe 2.47-2.71

Spin magnetization in μB/f.u.: 0.2
Electronic total energy in eV/atom: -10.341

---

Here is a relaxed structure of Fe2W3 from Alexandria via LeMat-Bulk. Energies are from PBE-GGA.

a b c (Å): 2.7813 2.7813 32.6115
angles (deg): 90.00 90.00 120.00
Closest atoms and distances in Å follow each position.
Space group R-3m (No. 166, hexagonal axes)
Inequivalent atoms, fractional coordinates:
Fe1 0.0000 0.0000 0.1020 x6  6 W 2.65, 6 Fe 2.78
W1 0.0000 0.0000 0.2960 x6  3 Fe 2.65, 9 W 2.78-2.92
W2 0.0000 0.0000 0.5000 x3  6 Fe 2.65, 6 W 2.78

Spin magnetization in μB/f.u.: 3.5
Electronic total energy in eV/atom: -10.777

---

| no. | V (Å³/atom) |
| --- | --- |
| 1 | 12.54 |
| 2 | 16.55 |
| 3 | 12.10 |
| 4 | 14.36 |
| 5 | 14.72 |
| 6 | 11.90 |
| 7 | 12.96 |
| 8 | 14.57 |